(1)
# SmRePO | OQMD | GGA-PBE | optimized geometry
data_SmRePO
_chemical_formula_sum 'Sm2 Re2 P2 O2'
_cell_length_a 4.271
_cell_length_b 4.271
_cell_length_c 6.856
_cell_angle_alpha 90.00
_cell_angle_beta 90.00
_cell_angle_gamma 90.00
_symmetry_space_group_name_H-M 'P 1'
_symmetry_Int_Tables_number 1
loop_
_symmetry_equiv_pos_as_xyz
'x,y,z'
loop_
_atom_site_label
_atom_site_fract_x
_atom_site_fract_y
_atom_site_fract_z
Sm1 0.500 0.500 0.500
Sm2 0.000 0.000 0.500
O1 0.000 0.000 0.000
O2 0.500 0.500 0.000
Re1 0.000 0.500 0.116
Re2 0.500 0.000 0.884
P1 0.000 0.500 0.776
P2 0.500 0.000 0.224
# Final energy: -27.2 eV/f.u.
# M_tot: 0.02 μB per cell
# Relative energy among the computed polymorphs: 1810.9 meV per atom
# Space-group type: P4/nmm



(2)
# ReSnPO | OQMD | GGA-PBE | optimized geometry
data_ReSnPO
_chemical_formula_sum 'Re2 Sn2 P2 O2'
_cell_length_a 4.154
_cell_length_b 4.154
_cell_length_c 9.321
_cell_angle_alpha 90.00
_cell_angle_beta 90.00
_cell_angle_gamma 90.00
_symmetry_space_group_name_H-M 'P 1'
_symmetry_Int_Tables_number 1
loop_
_symmetry_equiv_pos_as_xyz
'x,y,z'
loop_
_atom_site_label
_atom_site_fract_x
_atom_site_fract_y
_atom_site_fract_z
O1 0.500 0.000 0.000
O2 0.000 0.500 0.000
P1 0.500 0.500 0.275
P2 0.000 0.000 0.725
Sn1 0.500 0.000 0.500
Sn2 0.000 0.500 0.500
Re1 0.500 0.500 0.045
Re2 0.000 0.000 0.955
# Final energy: -26.2 eV/f.u.
# M_tot: 0.01 μB per cell
# Relative energy among the computed polymorphs: 671.7 meV per atom
# Space-group type: P4/nmm



(3)
# ReSnPO | OQMD | GGA-PBE | optimized geometry
data_ReSnPO
_chemical_formula_sum 'Re2 Sn2 P2 O2'
_cell_length_a 3.568
_cell_length_b 7.225
_cell_length_c 5.417
_cell_angle_alpha 90.00
_cell_angle_beta 90.00
_cell_angle_gamma 90.00
_symmetry_space_group_name_H-M 'P 1'
_symmetry_Int_Tables_number 1
loop_
_symmetry_equiv_pos_as_xyz
'x,y,z'
loop_
_atom_site_label
_atom_site_fract_x
_atom_site_fract_y
_atom_site_fract_z
Re1 0.000 0.959 0.068
Re2 0.000 0.041 0.568
P1 0.500 0.153 0.346
P2 0.500 0.847 0.846
Sn1 0.500 0.396 0.969
Sn2 0.500 0.604 0.469
O1 0.000 0.214 0.872
O2 0.000 0.786 0.372
# Final energy: -28.1 eV/f.u.
# M_tot: 0.00 μB per cell
# Relative energy among the computed polymorphs: 201.7 meV per atom
# Space-group type: Pmc2_1



(4)
# ReSnPO | OQMD | GGA-PBE | optimized geometry
data_ReSnPO
_chemical_formula_sum 'Re2 Sn2 P2 O2'
_cell_length_a 3.737
_cell_length_b 3.737
_cell_length_c 10.461
_cell_angle_alpha 90.00
_cell_angle_beta 90.00
_cell_angle_gamma 90.00
_symmetry_space_group_name_H-M 'P 1'
_symmetry_Int_Tables_number 1
loop_
_symmetry_equiv_pos_as_xyz
'x,y,z'
loop_
_atom_site_label
_atom_site_fract_x
_atom_site_fract_y
_atom_site_fract_z
Sn1 0.000 0.500 0.115
Sn2 0.500 0.000 0.885
Re1 0.500 0.500 0.500
Re2 0.000 0.000 0.500
P1 0.000 0.500 0.654
P2 0.500 0.000 0.346
O1 0.000 0.000 0.000
O2 0.500 0.500 0.000
# Final energy: -28.9 eV/f.u.
# M_tot: 0.01 μB per cell
# Relative energy among the computed polymorphs: 0.0 meV per atom
# Space-group type: P4/nmm



(5)
# Sr2RePO6 | OQMD | GGA-PBE | optimized geometry
data_Sr2RePO6
_chemical_formula_sum 'Sr2 Re1 P1 O6'
_cell_length_a 5.350
_cell_length_b 5.360
_cell_length_c 5.388
_cell_angle_alpha 60.81
_cell_angle_beta 60.44
_cell_angle_gamma 60.43
_symmetry_space_group_name_H-M 'P 1'
_symmetry_Int_Tables_number 1
loop_
_symmetry_equiv_pos_as_xyz
'x,y,z'
loop_
_atom_site_label
_atom_site_fract_x
_atom_site_fract_y
_atom_site_fract_z
Sr1 0.250 0.750 0.749
Sr2 0.750 0.250 0.251
P1 0.000 0.500 0.500
Re1 0.500 0.000 0.000
O1 0.771 0.677 0.772
O2 0.743 0.742 0.303
O3 0.194 0.758 0.300
O4 0.229 0.323 0.228
O5 0.806 0.242 0.700
O6 0.257 0.258 0.697
# Final energy: -70.1 eV/f.u.
# M_tot: 2.00 μB per cell
# Space-group type: P-1



(6)
# TaRePO | OQMD | GGA-PBE | optimized geometry
data_TaRePO
_chemical_formula_sum 'Ta2 Re2 P2 O2'
_cell_length_a 4.090
_cell_length_b 5.325
_cell_length_c 5.064
_cell_angle_alpha 90.00
_cell_angle_beta 90.00
_cell_angle_gamma 90.00
_symmetry_space_group_name_H-M 'P 1'
_symmetry_Int_Tables_number 1
loop_
_symmetry_equiv_pos_as_xyz
'x,y,z'
loop_
_atom_site_label
_atom_site_fract_x
_atom_site_fract_y
_atom_site_fract_z
Ta1 0.500 0.314 0.623
Ta2 0.500 0.686 0.123
Re1 0.000 0.999 0.376
Re2 0.000 0.001 0.876
P1 0.500 0.203 0.123
P2 0.500 0.797 0.623
O1 0.000 0.330 0.624
O2 0.000 0.670 0.124
# Final energy: -37.6 eV/f.u.
# M_tot: 0.01 μB per cell
# Relative energy among the computed polymorphs: 0.0 meV per atom
# Space-group type: Pmc2_1



(7)
# TaRePO | OQMD | GGA-PBE | optimized geometry
data_TaRePO
_chemical_formula_sum 'Ta2 Re2 P2 O2'
_cell_length_a 3.774
_cell_length_b 3.774
_cell_length_c 7.242
_cell_angle_alpha 90.00
_cell_angle_beta 90.00
_cell_angle_gamma 90.00
_symmetry_space_group_name_H-M 'P 1'
_symmetry_Int_Tables_number 1
loop_
_symmetry_equiv_pos_as_xyz
'x,y,z'
loop_
_atom_site_label
_atom_site_fract_x
_atom_site_fract_y
_atom_site_fract_z
Ta1 0.000 0.000 0.500
Ta2 0.500 0.500 0.500
Re1 0.500 0.000 0.830
Re2 0.000 0.500 0.170
O1 0.000 0.000 0.000
O2 0.500 0.500 0.000
P1 0.500 0.000 0.248
P2 0.000 0.500 0.752
# Final energy: -34.9 eV/f.u.
# M_tot: 0.00 μB per cell
# Relative energy among the computed polymorphs: 688.4 meV per atom
# Space-group type: P4/nmm



(8)
# TaRePO | OQMD | GGA-PBE | optimized geometry
data_TaRePO
_chemical_formula_sum 'Ta2 Re2 P2 O2'
_cell_length_a 3.760
_cell_length_b 3.760
_cell_length_c 7.401
_cell_angle_alpha 90.00
_cell_angle_beta 90.00
_cell_angle_gamma 90.00
_symmetry_space_group_name_H-M 'P 1'
_symmetry_Int_Tables_number 1
loop_
_symmetry_equiv_pos_as_xyz
'x,y,z'
loop_
_atom_site_label
_atom_site_fract_x
_atom_site_fract_y
_atom_site_fract_z
P1 0.500 0.500 0.295
P2 0.000 0.000 0.705
O1 0.000 0.500 0.000
O2 0.500 0.000 0.000
Ta1 0.000 0.000 0.168
Ta2 0.500 0.500 0.832
Re1 0.500 0.000 0.500
Re2 0.000 0.500 0.500
# Final energy: -37.5 eV/f.u.
# M_tot: 0.00 μB per cell
# Relative energy among the computed polymorphs: 37.2 meV per atom
# Space-group type: P4/nmm



(9)
# TaRePO | OQMD | GGA-PBE | optimized geometry
data_TaRePO
_chemical_formula_sum 'Ta2 Re2 P2 O2'
_cell_length_a 3.771
_cell_length_b 3.771
_cell_length_c 7.238
_cell_angle_alpha 90.00
_cell_angle_beta 90.00
_cell_angle_gamma 90.00
_symmetry_space_group_name_H-M 'P 1'
_symmetry_Int_Tables_number 1
loop_
_symmetry_equiv_pos_as_xyz
'x,y,z'
loop_
_atom_site_label
_atom_site_fract_x
_atom_site_fract_y
_atom_site_fract_z
P1 0.000 0.500 0.752
P2 0.500 0.000 0.248
O1 0.500 0.500 0.000
O2 0.000 0.000 0.000
Ta1 0.000 0.000 0.500
Ta2 0.500 0.500 0.500
Re1 0.000 0.500 0.170
Re2 0.500 0.000 0.830
# Final energy: -34.9 eV/f.u.
# M_tot: 0.01 μB per cell
# Relative energy among the computed polymorphs: 688.7 meV per atom
# Space-group type: P4/nmm



(10)
# TbRePO | OQMD | GGA-PBE | optimized geometry
data_TbRePO
_chemical_formula_sum 'Tb2 Re2 P2 O2'
_cell_length_a 4.304
_cell_length_b 4.304
_cell_length_c 6.581
_cell_angle_alpha 90.00
_cell_angle_beta 90.00
_cell_angle_gamma 90.00
_symmetry_space_group_name_H-M 'P 1'
_symmetry_Int_Tables_number 1
loop_
_symmetry_equiv_pos_as_xyz
'x,y,z'
loop_
_atom_site_label
_atom_site_fract_x
_atom_site_fract_y
_atom_site_fract_z
Tb1 0.500 0.500 0.500
Tb2 0.000 0.000 0.500
P1 0.000 0.500 0.772
P2 0.500 0.000 0.228
Re1 0.500 0.000 0.874
Re2 0.000 0.500 0.126
O1 0.500 0.500 0.000
O2 0.000 0.000 0.000
# Final energy: -27.4 eV/f.u.
# M_tot: 0.03 μB per cell
# Relative energy among the computed polymorphs: 1779.5 meV per atom
# Space-group type: P4/nmm



(11)
# TbRePO | OQMD | GGA-PBE | optimized geometry
data_TbRePO
_chemical_formula_sum 'Tb2 Re2 P2 O2'
_cell_length_a 4.054
_cell_length_b 6.110
_cell_length_c 5.510
_cell_angle_alpha 90.00
_cell_angle_beta 90.00
_cell_angle_gamma 90.00
_symmetry_space_group_name_H-M 'P 1'
_symmetry_Int_Tables_number 1
loop_
_symmetry_equiv_pos_as_xyz
'x,y,z'
loop_
_atom_site_label
_atom_site_fract_x
_atom_site_fract_y
_atom_site_fract_z
Re1 0.000 0.557 0.598
Re2 0.000 0.443 0.098
P1 0.500 0.678 0.374
P2 0.500 0.322 0.874
Tb1 0.500 0.838 0.864
Tb2 0.500 0.162 0.364
O1 0.000 0.261 0.418
O2 0.000 0.739 0.918
# Final energy: -31.7 eV/f.u.
# M_tot: 0.00 μB per cell
# Relative energy among the computed polymorphs: 712.8 meV per atom
# Space-group type: Pmc2_1



(12)
# TbRePO | OQMD | GGA-PBE | optimized geometry
data_TbRePO
_chemical_formula_sum 'Tb2 Re2 P2 O2'
_cell_length_a 4.281
_cell_length_b 4.281
_cell_length_c 6.633
_cell_angle_alpha 90.00
_cell_angle_beta 90.00
_cell_angle_gamma 90.00
_symmetry_space_group_name_H-M 'P 1'
_symmetry_Int_Tables_number 1
loop_
_symmetry_equiv_pos_as_xyz
'x,y,z'
loop_
_atom_site_label
_atom_site_fract_x
_atom_site_fract_y
_atom_site_fract_z
Tb1 0.500 0.000 0.500
Tb2 0.000 0.500 0.500
P1 0.000 0.000 0.772
P2 0.500 0.500 0.228
Re1 0.000 0.000 0.125
Re2 0.500 0.500 0.875
O1 0.500 0.000 0.000
O2 0.000 0.500 0.000
# Final energy: -27.4 eV/f.u.
# M_tot: 0.04 μB per cell
# Relative energy among the computed polymorphs: 1780.3 meV per atom
# Space-group type: P4/nmm